A relaxed Mg2ZrBr crystal. Source: Alexandria via LeMat-Bulk, functional PBE-GGA.

Values from the calculation:
Raw formation energy = -21.7 kJ per mole of atoms
Distance to the lowest polymorph of the same formula = 55 meV per atom
Density of states at the Fermi level = 1.111 states/eV/atom
V = 93.93 Å³ per cell

The structure in POSCAR format:
```
Mg2ZrBr
1.0
3.2968 0.0000 0.0000
0.0000 3.2968 0.0000
0.0000 0.0000 8.6422
Br Mg Zr
1 2 1
direct
0.5000 0.5000 0.7500
0.0000 0.0000 0.9989
0.0000 0.0000 0.5011
0.5000 0.5000 0.2500
```

***

A relaxed Sr5InAs8 crystal. Source: Alexandria via LeMat-Bulk, functional PBE-GGA.

Values from the calculation:
Energy of formation = -0.6854 eV per atom
Density of states at the Fermi level = 0.382 states/eV/atom
V = 413.22 Å³ per cell

The structure in POSCAR format:
```
Sr5InAs8
1.0
7.9443 -0.3644 -2.1092
-4.7777 6.3575 -2.1092
0.1925 0.3644 8.2172
Sr In As
5 1 8
direct
0.9310 0.3622 0.9368
0.6378 0.5746 0.5688
0.4254 0.9942 0.0632
0.5000 0.5000 0.0000
0.0058 0.0690 0.4312
0.2500 0.7500 0.5000
0.9625 0.7823 0.0637
0.2177 0.2814 0.1802
0.4428 0.7178 0.2950
0.2822 0.5772 0.7250
0.8522 0.5572 0.2750
0.1012 0.0375 0.8198
0.7186 0.8988 0.9363
0.4228 0.1478 0.7050
```

***

A relaxed U4Ga12Si crystal. Source: Alexandria via LeMat-Bulk, functional PBE-GGA.

Values from the calculation:
Raw formation energy = -14.1 kJ per mole of atoms
Density of states at the Fermi level = 1.490 states/eV/atom
V = 323.34 Å³ per cell

The structure in POSCAR format:
```
U4Ga12Si
1.0
-2.3900 -2.2461 -6.7327
-5.1713 -1.6448 5.1613
1.1595 7.3980 -0.1029
U Ga Si
4 12 1
direct
0.0000 0.0000 0.5000
0.5000 0.0000 0.0000
0.5000 0.5000 0.5000
0.0000 0.5000 0.0000
0.0000 0.2968 0.2968
0.0000 0.7032 0.7032
0.7032 0.7032 0.0000
0.2968 0.2968 0.0000
0.2968 0.0000 0.2968
0.7032 0.0000 0.7032
0.5000 0.2500 0.7500
0.5000 0.7500 0.2500
0.7500 0.2500 0.5000
0.2500 0.7500 0.5000
0.7500 0.5000 0.2500
0.2500 0.5000 0.7500
0.0000 0.0000 0.0000
```

***

A relaxed In6Hg12Pb crystal. Source: Alexandria via LeMat-Bulk, functional PBE-GGA.

Values from the calculation:
Energy of formation = 0.0387 eV per atom
Density of states at the Fermi level = 0.307 states/eV/atom
V = 529.38 Å³ per cell

The structure in POSCAR format:
```
In6Hg12Pb
1.0
-7.5972 -2.1787 1.7774
0.7878 -7.2471 -3.5330
2.1899 -3.6168 6.9099
In Hg Pb
6 12 1
direct
0.6936 0.8790 0.2517
0.7483 0.3064 0.1210
0.1210 0.7483 0.3064
0.3064 0.1210 0.7483
0.2517 0.6936 0.8790
0.8790 0.2517 0.6936
0.7996 0.5336 0.4341
0.4341 0.7996 0.5336
0.5336 0.4341 0.7996
0.2004 0.4664 0.5659
0.5659 0.2004 0.4664
0.4664 0.5659 0.2004
0.1287 0.1179 0.4025
0.8821 0.5975 0.8713
0.5975 0.8713 0.8821
0.8713 0.8821 0.5975
0.1179 0.4025 0.1287
0.4025 0.1287 0.1179
0.0000 0.0000 0.0000
```

***

Question: Which of these has the lowest density of states at the Fermi level?
Answer: In6Hg12Pb

***

Question: Among the records above, which one has the highest V?
Answer: In6Hg12Pb

***

Question: Among the records above, which one has the lowest V?
Answer: Mg2ZrBr